{"formula": "UPaCoPt", "functional": "GGA-PBE", "state": "relaxed", "dft_energy_ev_per_atom": -8.971, "ef_ev_per_atom": -0.49, "m_tot_mub_per_fu": 2.0, "cell": [[4.6377, 0.0000, 0.0000], [2.3188, 4.0164, 0.0000], [2.3188, 1.3388, 3.7867]], "species": ["Co", "Pa", "U", "Pt"], "frac_coords": [[0.5000, 0.5000, 0.5000], [0.7500, 0.7500, 0.7500], [0.0000, 0.0000, 0.0000], [0.2500, 0.2500, 0.2500]]}

---

{"formula": "Pu2PaCo9", "functional": "GGA-PBE", "state": "relaxed", "dft_energy_ev_per_atom": -8.692, "ef_ev_per_atom": -0.18, "m_tot_mub_per_fu": 1.5, "cell": [[-1.4617, 4.1638, 2.0581], [-0.7128, 0.2184, 4.8118], [7.0934, 3.6828, 3.3473]], "species": ["Pu", "Pu", "Pa", "Co", "Co", "Co", "Co", "Co", "Co", "Co", "Co", "Co"], "frac_coords": [[0.8607, 0.8607, 0.4178], [0.1393, 0.1393, 0.5822], [0.0000, 0.0000, 0.0000], [0.6661, 0.6661, 0.0016], [0.3339, 0.3339, 0.9984], [0.5000, 0.5000, 0.5000], [0.4172, 0.4172, 0.2464], [0.9192, 0.4172, 0.2464], [0.4172, 0.9192, 0.2464], [0.5828, 0.5828, 0.7536], [0.5828, 0.0808, 0.7536], [0.0808, 0.5828, 0.7536]]}

---

{"formula": "PuPaCo2", "functional": "GGA-PBE", "state": "relaxed", "dft_energy_ev_per_atom": -9.705, "ef_ev_per_atom": -0.19, "m_tot_mub_per_fu": 4.8, "de_polymorph_mev_per_atom": 0.0, "cell": [[4.5605, 0.0000, 0.0000], [0.0000, 4.8240, -2.1606], [0.0000, -0.8795, 6.7630]], "species": ["Pu", "Pu", "Pa", "Pa", "Co", "Co", "Co", "Co"], "frac_coords": [[0.2500, 0.2508, 0.0717], [0.7500, 0.7492, 0.9283], [0.7500, 0.6483, 0.3753], [0.2500, 0.3517, 0.6247], [0.2500, 0.8337, 0.2187], [0.7500, 0.1663, 0.7813], [0.7500, 0.1683, 0.3858], [0.2500, 0.8317, 0.6142]]}